Material: TmScRh4
Method: DFT, GGA-PBE
State: optimized geometry

Calculated values
Excess energy over the best structure of this formula in the dataset (meV per atom): 357
Raw total energy (eV/atom): -7.07

a b c (Å): 3.005 4.513 7.966
angles (deg): 90.00 90.00 90.00
Space group Pmmm (No. 47)
One atom of each set of equivalent atoms:
Tm1 0.000 0.000 0.000
Sc1 0.500 0.500 0.500
Rh1 0.000 0.500 0.227
Rh2 0.500 0.000 0.292


Material: TmScRh4
Method: DFT, GGA-PBE
State: optimized geometry

Calculated values
Excess energy over the best structure of this formula in the dataset (meV per atom): 251
Raw total energy (eV/atom): -7.18

a b c (Å): 9.994 3.244 6.631
angles (deg): 90.00 110.13 90.00
Space group C2/m (No. 12)
One atom of each set of equivalent atoms:
Tm1 0.000 0.000 0.000
Sc1 0.000 0.000 0.500
Rh1 0.155 0.500 0.354
Rh2 0.174 0.500 0.813


Material: TmScRh
Method: DFT, GGA-PBE
State: optimized geometry

Calculated values
Excess energy over the best structure of this formula in the dataset (meV per atom): 248
Raw total energy (eV/atom): -6.51

a b c (Å): 4.6270 4.6270 3.3238
angles (deg): 90.00 90.00 120.00
Space group P3m1 (No. 156)
One atom of each set of equivalent atoms:
Tm1 0.0000 0.0000 0.0000
Sc1 0.6667 0.3333 0.5549
Rh1 0.3333 0.6667 0.3120


Material: Tm3Sc7Rh4
Method: DFT, GGA-PBE
State: optimized geometry

Calculated values
Raw total energy (eV/atom): -6.77

a b c (Å): 17.549 3.799 10.873
angles (deg): 90.00 121.91 90.00
Space group C2/m (No. 12)
One atom of each set of equivalent atoms:
Tm1 0.000 0.000 0.000
Tm2 0.185 0.500 0.690
Sc1 0.000 0.000 0.500
Sc2 0.007 0.500 0.277
Sc3 0.169 0.000 0.412
Sc4 0.181 0.500 0.022
Rh1 0.122 0.000 0.818
Rh2 0.144 0.500 0.226


Material: TmSc2Rh4
Method: DFT, GGA-PBE
State: optimized geometry

Calculated values
Raw total energy (eV/atom): -7.21

a b c (Å): 6.435 6.435 6.248
angles (deg): 90.00 90.00 90.00
Space group I4/mmm (No. 139)
One atom of each set of equivalent atoms:
Tm1 0.000 0.000 0.000
Sc1 0.000 0.500 0.000
Rh1 0.250 0.250 0.250


Material: TmScRh2
Method: DFT, GGA-PBE
State: optimized geometry

Calculated values
Raw total energy (eV/atom): -7.36

a b c (Å): 3.247 3.247 6.840
angles (deg): 90.00 90.00 90.00
Space group P4/mmm (No. 123)
One atom of each set of equivalent atoms:
Tm1 0.000 0.000 0.000
Sc1 0.000 0.000 0.500
Rh1 0.500 0.500 0.263